(1)
The following is a PBE calculation of a relaxed structure of LaHo2Bi3, from Alexandria.

Structure (extended XYZ):
```
6
Lattice="-3.039 2.464 -2.319 -3.957 -5.084 -0.216 0.639 3.288 7.116" Properties=species:S:1:pos:R:3 pbc="T T T"
Ho -2.460 1.883 0.764
Ho -3.898 -1.215 3.817
La -1.979 -2.542 -0.108
Bi -4.495 -0.621 0.772
Bi 0.000 0.000 0.000
Bi -1.863 1.288 3.809
```

Total moment: 0.000 μB per atom
Calculated total energy: -5.184 eV/atom
SG: Immm
Density of states at the Fermi level: 1.13 states/eV per cell



(2)
The following is a PBE calculation of a relaxed structure of LiLaHoBi, from Alexandria.

Structure (extended XYZ):
```
4
Lattice="5.435 0.000 0.000 2.717 4.707 0.000 2.717 1.569 4.437" Properties=species:S:1:pos:R:3 pbc="T T T"
Li 0.000 0.000 0.000
Bi 5.435 3.138 2.219
La 2.717 1.569 1.109
Ho 8.152 4.707 3.328
```

Total moment: 0.000 μB per atom
Calculated total energy: -4.165 eV/atom
SG: F-43m
Density of states at the Fermi level: 4.75 states/eV per cell



(3)
The following is a PBE calculation of a relaxed structure of LaNd2HoBi5, from Alexandria.

Structure (extended XYZ):
```
9
Lattice="-2.963 1.843 4.134 -2.207 -4.902 0.603 8.918 -3.060 7.755" Properties=species:S:1:pos:R:3 pbc="T T T"
Bi 2.978 -0.609 5.945
Bi -2.585 -1.530 2.369
Bi 3.356 -3.981 4.179
Bi 2.241 -0.769 1.949
Bi 6.677 -2.291 5.806
Nd -0.173 -2.357 4.466
Nd 3.922 -3.762 8.027
La 0.000 0.000 0.000
Ho 4.459 -1.530 3.878
```

Total moment: 0.000 μB per atom
Calculated total energy: -4.472 eV/atom
SG: P4/mmm
Density of states at the Fermi level: 7.14 states/eV per cell



(4)
The following is a PBE calculation of a relaxed structure of La2PmHoBi4, from Alexandria.

Structure (extended XYZ):
```
8
Lattice="-1.418 -1.657 -4.074 2.638 -7.270 2.038 -7.595 0.825 2.309" Properties=species:S:1:pos:R:3 pbc="T T T"
La -2.479 -3.222 2.173
La -4.507 -0.416 -0.883
Pm 0.610 -4.463 -1.018
Bi -1.882 -2.396 -0.991
Bi -5.104 -1.187 2.259
Bi 0.146 -5.257 2.087
Bi -4.494 -5.705 1.263
Ho 0.000 0.000 0.000
```

Total moment: 0.000 μB per atom
Calculated total energy: -5.307 eV/atom
SG: P2/m
Density of states at the Fermi level: 1.07 states/eV per cell



(5)
The following is a PBE calculation of a relaxed structure of La2PrHoBi4, from Alexandria.

Structure (extended XYZ):
```
8
Lattice="4.637 0.000 0.000 0.000 8.010 -0.153 0.000 2.824 7.509" Properties=species:S:1:pos:R:3 pbc="T T T"
Bi 2.319 4.176 5.529
Bi 0.000 8.068 5.494
Bi 2.319 6.658 1.827
Bi 4.637 2.767 1.862
La 0.000 2.824 7.509
La 2.319 1.412 3.754
Pr 2.319 4.005 -0.076
Ho 0.000 5.417 3.678
```

Total moment: 0.000 μB per atom
Calculated total energy: -5.313 eV/atom
SG: P2/m
Density of states at the Fermi level: 1.03 states/eV per cell



(6)
The following is a PBE calculation of a relaxed structure of LaPr2HoBi4, from Alexandria.

Structure (extended XYZ):
```
8
Lattice="-3.074 -3.223 1.232 3.781 -0.935 6.984 -3.094 5.012 5.394" Properties=species:S:1:pos:R:3 pbc="T T T"
La 0.354 -2.079 4.108
Ho 0.343 2.039 6.189
Bi -2.859 1.864 6.411
Bi 0.522 3.034 9.238
Bi 0.472 -1.010 7.200
Bi -2.909 -2.179 4.373
Pr -3.094 5.012 5.394
Pr -3.084 0.895 3.313
```

Total moment: 0.000 μB per atom
Calculated total energy: -5.267 eV/atom
SG: P2/m
Density of states at the Fermi level: 1.02 states/eV per cell



(7)
The following is a PBE calculation of a relaxed structure of La2PrHoBi5, from Alexandria.

Structure (extended XYZ):
```
9
Lattice="-3.192 -4.054 1.693 1.985 -3.198 -3.915 8.769 -3.764 7.522" Properties=species:S:1:pos:R:3 pbc="T T T"
La 5.734 -6.346 4.325
La 1.828 -4.670 0.975
Bi 2.199 -0.944 1.887
Bi -0.604 -3.626 -1.111
Bi 6.569 -2.820 5.635
Bi 5.377 -3.481 1.804
Bi 2.788 -3.909 4.607
Ho 4.384 -1.882 3.761
Pr 0.000 0.000 0.000
```

Total moment: 0.000 μB per atom
Calculated total energy: -4.588 eV/atom
SG: P4/mmm
Density of states at the Fermi level: 8.00 states/eV per cell



(8)
The following is a PBE calculation of a relaxed structure of LaPrHo2Bi4, from Alexandria.

Structure (extended XYZ):
```
8
Lattice="-0.501 4.165 1.831 -7.353 0.372 -2.856 -5.064 -2.951 5.329" Properties=species:S:1:pos:R:3 pbc="T T T"
Bi -7.101 1.645 0.039
Bi -3.529 3.507 2.502
Bi -5.816 -0.059 4.265
Bi -9.389 -1.920 1.802
Ho -2.783 0.607 3.580
Ho -5.064 -2.951 5.329
La -6.209 -1.290 1.237
Pr -3.927 2.269 -0.512
```

Total moment: 0.000 μB per atom
Calculated total energy: -5.217 eV/atom
SG: P2/m
Density of states at the Fermi level: 1.16 states/eV per cell



(9)
The following is a PBE calculation of a relaxed structure of LaPr2HoBi5, from Alexandria.

Structure (extended XYZ):
```
9
Lattice="-2.723 -4.379 1.657 3.246 -3.147 -2.983 7.612 -1.143 9.491" Properties=species:S:1:pos:R:3 pbc="T T T"
Ho 3.806 -0.571 4.745
Pr 2.335 -4.074 1.922
Pr 5.801 -4.595 6.243
Bi 5.429 -2.145 3.254
Bi 0.262 -3.763 -0.663
Bi 5.699 -0.855 7.105
Bi 2.445 -2.761 5.574
Bi 1.914 -0.287 2.386
La 0.000 0.000 0.000
```

Total moment: 0.000 μB per atom
Calculated total energy: -4.504 eV/atom
SG: P4/mmm
Density of states at the Fermi level: 7.30 states/eV per cell



(10)
The following is a PBE calculation of a relaxed structure of La2HoPuBi4, from Alexandria.

Structure (extended XYZ):
```
8
Lattice="-4.092 1.471 1.553 -2.544 -7.550 0.448 3.368 2.084 6.901" Properties=species:S:1:pos:R:3 pbc="T T T"
La 0.412 -2.733 3.675
La -0.362 1.778 4.227
Bi 1.918 -0.343 5.380
Bi -1.094 -5.123 1.970
Bi -1.393 -3.356 6.372
Bi -1.874 -0.639 2.530
Ho -3.318 -3.040 1.001
Pu 0.000 0.000 0.000
```

Total moment: 0.632 μB per atom
Calculated total energy: -6.341 eV/atom
SG: P2/m
Density of states at the Fermi level: 17.66 states/eV per cell



(11)
The following is a PBE calculation of a relaxed structure of LaHoBiSb, from Alexandria.

Structure (extended XYZ):
```
4
Lattice="4.548 0.000 0.000 2.274 3.939 0.000 2.274 1.313 7.390" Properties=species:S:1:pos:R:3 pbc="T T T"
Ho 2.274 1.313 3.129
La 6.823 3.939 6.740
Bi 6.823 3.939 1.344
Sb 4.548 2.626 4.828
```

Total moment: 0.000 μB per atom
Formation energy (no corrections): -1.0662 eV/atom
SG: R3m
Density of states at the Fermi level: 0.62 states/eV per cell



(12)
The following is a PBE calculation of a relaxed structure of LaHo2ScBi4, from Alexandria.

Structure (extended XYZ):
```
8
Lattice="6.353 0.347 0.000 -0.345 6.353 0.000 -3.004 -3.350 6.310" Properties=species:S:1:pos:R:3 pbc="T T T"
Ho 2.800 -0.246 3.155
Ho -0.549 2.757 3.155
Bi 5.800 3.103 0.000
Bi 2.627 2.930 3.024
Bi 2.454 6.103 0.000
Bi -0.377 -0.420 3.286
Sc 2.624 2.926 0.000
La 5.631 6.280 0.000
```

Total moment: 0.000 μB per atom
Calculated total energy: -5.307 eV/atom
SG: Fmm2
Density of states at the Fermi level: 1.21 states/eV per cell



(13)
The following is a PBE calculation of a relaxed structure of LaHoBiSe, from Alexandria.

Structure (extended XYZ):
```
4
Lattice="-4.231 -0.231 -0.502 2.450 -3.357 -0.967 1.289 -1.333 7.890" Properties=species:S:1:pos:R:3 pbc="T T T"
Se -0.880 -1.431 4.658
La -2.694 -2.012 2.076
Bi 1.955 -3.382 -0.213
Ho 1.187 -3.053 6.113
```

Total moment: 0.158 μB per atom
Formation energy (no corrections): -1.2800 eV/atom
SG: R3m
Density of states at the Fermi level: 1.60 states/eV per cell



(14)
The following is a PBE calculation of a relaxed structure of La2SmHoBi4, from Alexandria.

Structure (extended XYZ):
```
8
Lattice="-0.039 4.239 -1.827 -7.965 -0.154 -0.190 -2.892 2.924 6.848" Properties=species:S:1:pos:R:3 pbc="T T T"
La -2.892 2.924 6.848
La -1.465 3.582 2.511
Sm -4.002 2.042 -1.008
Bi -2.829 4.929 -0.166
Bi -4.253 4.253 4.127
Bi -6.642 2.756 0.705
Bi -8.067 2.080 4.997
Ho -5.428 1.385 3.329
```

Total moment: 0.000 μB per atom
Calculated total energy: -5.300 eV/atom
SG: P2/m
Density of states at the Fermi level: 1.10 states/eV per cell



(15)
The following is a PBE calculation of a relaxed structure of LaSmHo2Bi4, from Alexandria.

Structure (extended XYZ):
```
8
Lattice="-2.741 0.718 -3.568 -3.423 -6.975 1.225 -6.123 0.893 4.883" Properties=species:S:1:pos:R:3 pbc="T T T"
Bi -7.155 -4.648 4.560
Bi -5.132 -0.716 -2.020
Bi -6.786 -0.651 2.172
Bi -5.501 -4.713 0.368
Sm -4.773 -3.041 3.054
Ho -6.123 0.893 4.883
Ho -4.432 0.806 0.658
La -3.082 -3.129 -1.171
```

Total moment: 0.000 μB per atom
Calculated total energy: -5.200 eV/atom
SG: P2/m
Density of states at the Fermi level: 1.17 states/eV per cell



(16)
The following is a PBE calculation of a relaxed structure of LaSm2HoBi5, from Alexandria.

Structure (extended XYZ):
```
9
Lattice="-3.235 -2.913 3.195 2.597 -4.500 -1.473 7.801 1.476 9.244" Properties=species:S:1:pos:R:3 pbc="T T T"
Sm 1.772 -3.311 3.339
Sm 5.390 -2.626 7.627
Bi 2.283 -0.719 6.220
Bi 5.840 1.105 6.921
Bi -0.319 -3.706 0.861
Bi 5.199 -1.512 3.886
Bi 1.961 0.371 2.324
Ho 3.900 0.738 4.622
La 0.000 0.000 0.000
```

Total moment: 0.000 μB per atom
Calculated total energy: -4.409 eV/atom
SG: P4/mmm
Density of states at the Fermi level: 7.03 states/eV per cell



(17)
The following is a PBE calculation of a relaxed structure of La3TbHo2Bi6, from Alexandria.

Structure (extended XYZ):
```
12
Lattice="-5.290 4.746 -3.591 4.405 -5.036 -4.318 -4.952 -5.162 3.414" Properties=species:S:1:pos:R:3 pbc="T T T"
La 0.318 -5.991 -2.490
La -2.919 -2.726 -2.248
La -6.155 0.540 -2.005
Ho -2.060 1.487 -3.833
Ho 1.175 -1.777 -4.076
Tb 0.000 0.000 0.000
Bi -3.013 0.342 -1.017
Bi -6.068 -2.520 -3.235
Bi -4.008 -4.016 0.584
Bi -1.829 -1.436 -5.079
Bi 0.230 -2.931 -1.261
Bi -2.824 -5.793 -3.478
```

Total moment: 0.000 μB per atom
Calculated total energy: -5.272 eV/atom
SG: C2/m
Density of states at the Fermi level: 2.27 states/eV per cell



(18)
The following is a PBE calculation of a relaxed structure of LaHoBiTe, from Alexandria.

Structure (extended XYZ):
```
4
Lattice="-0.663 -4.352 -0.370 1.126 2.372 -3.552 7.645 0.824 2.974" Properties=species:S:1:pos:R:3 pbc="T T T"
Ho 1.827 1.807 -3.147
Bi 7.196 0.675 0.546
La 4.622 -1.230 1.204
Te 2.456 -2.984 -0.654
```

Total moment: 0.146 μB per atom
Formation energy (no corrections): -1.1562 eV/atom
SG: R3m
Density of states at the Fermi level: 1.99 states/eV per cell



(19)
The following is a PBE calculation of a relaxed structure of La2HoThBi5, from Alexandria.

Structure (extended XYZ):
```
9
Lattice="-3.254 0.329 4.759 -3.423 -4.173 -2.052 6.840 -8.189 5.243" Properties=species:S:1:pos:R:3 pbc="T T T"
Ho 0.000 0.000 0.000
Bi 1.658 -1.985 1.271
Bi 1.709 -6.181 1.596
Bi 1.793 -3.930 5.001
Bi -3.339 -1.922 1.354
Bi 5.183 -6.204 3.972
Th 3.420 -4.094 2.622
La 1.537 -7.759 5.091
La -1.374 -4.274 2.859
```

Total moment: 0.000 μB per atom
Calculated total energy: -4.661 eV/atom
SG: P4/mmm
Density of states at the Fermi level: 7.56 states/eV per cell



(20)
The following is a PBE calculation of a relaxed structure of LaHo2TmBi4, from Alexandria.

Structure (extended XYZ):
```
8
Lattice="-5.785 2.379 -1.350 -2.702 -4.472 3.694 4.672 4.946 3.863" Properties=species:S:1:pos:R:3 pbc="T T T"
Ho -2.144 3.271 1.695
Ho -0.603 -0.155 4.217
Bi -5.061 -3.151 2.872
Bi -6.603 0.274 0.350
Bi 0.753 2.128 2.430
Bi -3.500 0.988 3.482
La -7.953 -1.962 2.197
Tm -3.711 -0.915 1.025
```

Total moment: 0.000 μB per atom
Calculated total energy: -5.119 eV/atom
SG: I4/mmm
Density of states at the Fermi level: 1.24 states/eV per cell